[1]
TaFeMo4 | GGA-PBE | optimized geometry

crystal system: cubic
ΔE_f: 0.319 eV/atom
magnetic moment: 4.23 μB/f.u.

a = 5.2157 Å, b = 5.2157 Å, c = 5.2157 Å
α = 60.00°, β = 60.00°, γ = 60.00°
Fractional coordinates of all 6 atoms:
Mo  0.6255  0.6255  0.6255
Mo  0.6255  0.1234  0.6255
Mo  0.1234  0.6255  0.6255
Mo  0.6255  0.6255  0.1234
Fe  0.0000  0.0000  0.0000
Ta  0.2500  0.2500  0.2500

---

[2]
Tb2Sm4DyHo2 | GGA-PBE | optimized geometry

crystal system: monoclinic
ΔE_f: 0.017 eV/atom
magnetic moment: 0.00 μB/f.u.

a = 3.5762 Å, b = 9.4706 Å, c = 8.7817 Å
α = 89.96°, β = 90.00°, γ = 100.88°
Fractional coordinates of all 9 atoms:
Sm  0.7775  0.5550  0.6690
Sm  0.4447  0.8893  0.6684
Sm  0.5553  0.1107  0.3316
Sm  0.2225  0.4450  0.3310
Ho  0.6667  0.3333  0.9997
Ho  0.3333  0.6667  0.0003
Tb  0.8888  0.7776  0.3303
Tb  0.1112  0.2224  0.6697
Dy  0.0000  0.0000  0.0000

---

[3]
LaTm5Hg6 | GGA-PBE | optimized geometry

crystal system: monoclinic
ΔE_f: -0.469 eV/atom
magnetic moment: 0.00 μB/f.u.

a = 5.2167 Å, b = 7.4718 Å, c = 8.3217 Å
α = 90.00°, β = 108.09°, γ = 90.00°
Fractional coordinates of all 12 atoms:
Hg  0.1725  0.7389  0.3451
Hg  0.8275  0.7389  0.6549
Hg  0.8275  0.2611  0.6549
Hg  0.5000  0.7387  0.0000
Hg  0.1725  0.2611  0.3451
Hg  0.5000  0.2613  0.0000
Tm  0.6623  0.5000  0.3249
Tm  0.6708  0.0000  0.3410
Tm  0.3292  0.0000  0.6590
Tm  0.3377  0.5000  0.6751
Tm  0.0000  0.5000  0.0000
La  0.0000  0.0000  0.0000